(1)
Compound: SmDyF5
Source: Alexandria
Functional: GGA-PBE
Structure: relaxed

Calculated values
The formation energy (no corrections) is -3.82 eV per atom. The value obtained for the total magnetization is 0.0 μB per cell.

Unit cell a=9.702 b=7.378 c=7.857 alpha=90.00 beta=113.74 gamma=90.00
Space group C2/c (No. 15)
One atom of each set of equivalent atoms:
Sm (0.000, 0.000, 0.000) x4
Dy (0.000, 0.484, 0.250) x4
F (0.000, 0.178, 0.250) x4
F (0.000, 0.332, 0.524) x8
F (0.245, 0.488, 0.372) x8


(2)
Compound: SmDy2F
Source: Alexandria
Functional: GGA-PBE
Structure: relaxed

Calculated values
The formation energy (no corrections) is -1.14 eV per atom. The value obtained for the total magnetization is 0.0 μB per cell.

Unit cell a=3.6873 b=3.6873 c=25.5876 alpha=90.00 beta=90.00 gamma=120.00
Space group R-3m (No. 166, hexagonal axes)
One atom of each set of equivalent atoms:
Sm (0.0000, 0.0000, 0.0000) x3
Dy (0.0000, 0.0000, 0.2227) x6
F (0.0000, 0.0000, 0.5000) x3


(3)
Compound: DySnF
Source: Alexandria
Functional: GGA-PBE
Structure: relaxed

Calculated values
The formation energy (no corrections) is -1.91 eV per atom. The value obtained for the total magnetization is 0.0 μB per cell.

Unit cell a=3.8568 b=3.8568 c=5.2311 alpha=90.00 beta=90.00 gamma=120.00
Space group P-6m2 (No. 187)
One atom of each set of equivalent atoms:
Dy (0.0000, 0.0000, 0.0000) x1
Sn (0.6667, 0.3333, 0.5000) x1
F (0.3333, 0.6667, 0.0000) x1


(4)
Compound: DySnF
Source: Alexandria
Functional: GGA-PBE
Structure: relaxed

Calculated values
The formation energy (no corrections) is -1.95 eV per atom. The value obtained for the total magnetization is 0.0 μB per cell.

Unit cell a=10.4811 b=10.4811 c=12.2860 alpha=90.00 beta=90.00 gamma=120.00
Space group R-3 (No. 148, hexagonal axes)
One atom of each set of equivalent atoms:
Dy (0.0560, 0.6005, 0.2720) x18
Sn (0.0451, 0.1836, 0.8531) x18
F (0.0514, 0.8562, 0.4232) x18